# 1
{
  "formula": "Ac12In3H5",
  "functional": "PBE",
  "state": "optimized geometry",
  "lattice": [[-8.630, 3.630, -11.747], [-8.115, -7.784, 9.960], [5.186, 12.528, 6.465]],
  "species": ["In", "In", "In", "In", "In", "In", "In", "In", "In", "In", "In", "In", "H", "H", "H", "H", "H", "H", "H", "H", "H", "H", "H", "H", "H", "H", "H", "H", "H", "H", "H", "H", "Ac", "Ac", "Ac", "Ac", "Ac", "Ac", "Ac", "Ac", "Ac", "Ac", "Ac", "Ac", "Ac", "Ac", "Ac", "Ac", "Ac", "Ac", "Ac", "Ac", "Ac", "Ac", "Ac", "Ac", "Ac", "Ac", "Ac", "Ac", "Ac", "Ac", "Ac", "Ac", "Ac", "Ac", "Ac", "Ac", "Ac", "Ac", "Ac", "Ac", "Ac", "Ac", "Ac", "Ac", "Ac", "Ac", "Ac", "Ac"],
  "fractional_positions": [[0.750, 0.375, 0.125], [0.875, 0.750, 0.125], [0.375, 0.750, 0.625], [0.250, 0.125, 0.375], [0.875, 0.125, 0.250], [0.375, 0.625, 0.250], [0.625, 0.375, 0.750], [0.125, 0.875, 0.750], [0.750, 0.875, 0.625], [0.625, 0.250, 0.375], [0.125, 0.250, 0.875], [0.250, 0.625, 0.875], [0.125, 0.375, 0.250], [0.000, 0.500, 0.000], [0.000, 0.000, 0.000], [0.375, 0.250, 0.125], [0.500, 0.000, 0.500], [0.500, 0.500, 0.000], [0.125, 0.750, 0.375], [0.750, 0.125, 0.875], [0.750, 0.625, 0.375], [0.375, 0.125, 0.750], [0.625, 0.875, 0.250], [0.500, 0.500, 0.500], [0.500, 0.000, 0.000], [0.000, 0.000, 0.500], [0.250, 0.375, 0.625], [0.250, 0.875, 0.125], [0.000, 0.500, 0.500], [0.875, 0.250, 0.625], [0.625, 0.750, 0.875], [0.875, 0.625, 0.750], [0.708, 0.112, 0.017], [0.309, 0.517, 0.405], [0.983, 0.388, 0.292], [0.517, 0.208, 0.112], [0.596, 0.708, 0.691], [0.983, 0.595, 0.191], [0.309, 0.792, 0.404], [0.095, 0.904, 0.112], [0.595, 0.983, 0.691], [0.708, 0.596, 0.191], [0.792, 0.483, 0.388], [0.809, 0.905, 0.017], [0.112, 0.708, 0.517], [0.388, 0.405, 0.096], [0.096, 0.905, 0.388], [0.404, 0.112, 0.595], [0.096, 0.191, 0.208], [0.483, 0.691, 0.095], [0.809, 0.904, 0.292], [0.112, 0.404, 0.095], [0.388, 0.983, 0.792], [0.595, 0.612, 0.404], [0.905, 0.809, 0.517], [0.792, 0.309, 0.904], [0.405, 0.388, 0.596], [0.095, 0.191, 0.483], [0.208, 0.691, 0.096], [0.191, 0.096, 0.708], [0.612, 0.017, 0.208], [0.888, 0.596, 0.905], [0.517, 0.309, 0.905], [0.596, 0.888, 0.405], [0.904, 0.809, 0.792], [0.904, 0.095, 0.612], [0.888, 0.292, 0.483], [0.191, 0.095, 0.983], [0.612, 0.595, 0.904], [0.405, 0.017, 0.309], [0.292, 0.404, 0.809], [0.208, 0.517, 0.612], [0.905, 0.096, 0.888], [0.691, 0.208, 0.596], [0.483, 0.792, 0.888], [0.017, 0.405, 0.809], [0.404, 0.292, 0.309], [0.017, 0.612, 0.708], [0.691, 0.483, 0.595], [0.292, 0.888, 0.983]],
  "final_energy_ev_per_cell": -313.1,
  "density_g_cm3": 7.82,
  "spacegroup": "No. 230",
  "n_ef_per_ev_cell": 98.7
}



# 2
{
  "formula": "Ac4In2H",
  "functional": "PBE",
  "state": "optimized geometry",
  "lattice": [[5.106, 0.000, 0.000], [0.000, 5.106, 0.000], [-2.553, -2.553, 9.150]],
  "species": ["H", "Ac", "Ac", "Ac", "Ac", "In", "In"],
  "fractional_positions": [[0.000, 0.000, 0.000], [0.819, 0.819, 0.639], [0.181, 0.181, 0.361], [0.000, 0.500, 0.000], [0.500, 0.000, 0.000], [0.635, 0.635, 0.270], [0.365, 0.365, 0.730]],
  "final_energy_ev_per_cell": -27.3,
  "density_g_cm3": 7.93,
  "spacegroup": "No. 139",
  "n_ef_per_ev_cell": 7.2
}



# 3
{
  "formula": "AcInH",
  "functional": "PBE",
  "state": "optimized geometry",
  "lattice": [[-0.996, -3.115, 2.434], [3.487, 0.491, 2.054], [-4.034, 5.595, 5.511]],
  "species": ["Ac", "Ac", "In", "In", "H", "H"],
  "fractional_positions": [[0.000, 0.500, 0.830], [0.500, 0.000, 0.170], [0.000, 0.500, 0.426], [0.500, 0.000, 0.574], [0.000, 0.000, 0.000], [0.500, 0.500, 0.000]],
  "final_energy_ev_per_cell": -22.9,
  "density_g_cm3": 7.76,
  "spacegroup": "No. 129",
  "n_ef_per_ev_cell": 3.3,
  "e_above_lowest_polymorph_mev_per_atom": 0.0
}



# 4
{
  "formula": "AcInH",
  "functional": "PBE",
  "state": "optimized geometry",
  "lattice": [[4.084, 0.000, 0.000], [-2.042, 3.537, 0.000], [0.000, 0.000, 5.520]],
  "species": ["H", "Ac", "In"],
  "fractional_positions": [[0.333, 0.667, 0.500], [0.667, 0.333, 0.500], [0.000, 0.000, 0.000]],
  "final_energy_ev_per_cell": -11.1,
  "density_g_cm3": 7.14,
  "spacegroup": "No. 187",
  "n_ef_per_ev_cell": 3.7,
  "e_above_lowest_polymorph_mev_per_atom": 122.5
}



# 5
{
  "formula": "Ac3In2H",
  "functional": "PBE",
  "state": "optimized geometry",
  "lattice": [[6.958, 0.000, 0.000], [0.000, 7.426, 0.283], [-3.479, -1.586, 7.312]],
  "species": ["Ac", "Ac", "Ac", "Ac", "Ac", "Ac", "In", "In", "In", "In", "H", "H"],
  "fractional_positions": [[0.422, 0.250, 0.000], [0.578, 0.750, 0.000], [0.031, 0.113, 0.271], [0.760, 0.387, 0.729], [0.240, 0.613, 0.271], [0.969, 0.887, 0.729], [0.796, 0.547, 0.357], [0.560, 0.047, 0.357], [0.440, 0.953, 0.643], [0.204, 0.453, 0.643], [0.942, 0.750, 0.000], [0.058, 0.250, 0.000]],
  "final_energy_ev_per_cell": -46.1,
  "density_g_cm3": 7.95,
  "spacegroup": "No. 15",
  "n_ef_per_ev_cell": 6.2
}



# 6
{
  "formula": "Ac5In2H",
  "functional": "PBE",
  "state": "optimized geometry",
  "lattice": [[7.691, -0.002, 0.003], [-0.002, 7.691, 0.003], [-3.842, -3.842, 4.873]],
  "species": ["Ac", "Ac", "Ac", "Ac", "Ac", "In", "In", "H"],
  "fractional_positions": [[0.752, 0.250, 0.002], [0.250, 0.250, 0.002], [0.752, 0.752, 0.002], [0.250, 0.752, 0.002], [0.755, 0.755, 0.510], [0.253, 0.753, 0.506], [0.753, 0.253, 0.506], [0.012, 0.012, 0.024]],
  "final_energy_ev_per_cell": -30.3,
  "density_g_cm3": 7.86,
  "spacegroup": "No. 107",
  "n_ef_per_ev_cell": 9.7
}



# 7
{
  "formula": "Ac3InH",
  "functional": "PBE",
  "state": "optimized geometry",
  "lattice": [[5.363, 0.000, 0.000], [0.000, 5.363, 0.000], [0.000, 0.000, 5.363]],
  "species": ["H", "Ac", "Ac", "Ac", "In"],
  "fractional_positions": [[0.000, 0.000, 0.000], [0.000, 0.500, 0.000], [0.000, 0.000, 0.500], [0.500, 0.000, 0.000], [0.500, 0.500, 0.500]],
  "final_energy_ev_per_cell": -19.6,
  "density_g_cm3": 8.58,
  "spacegroup": "No. 221",
  "n_ef_per_ev_cell": 7.7,
  "e_above_lowest_polymorph_mev_per_atom": 0.0
}



# 8
{
  "formula": "AcInH",
  "functional": "PBE",
  "state": "optimized geometry",
  "lattice": [[4.824, 0.000, 0.000], [0.000, 4.824, 0.000], [-2.412, -2.412, 3.758]],
  "species": ["H", "Ac", "In"],
  "fractional_positions": [[0.927, 0.927, 0.854], [0.242, 0.242, 0.484], [0.681, 0.681, 0.362]],
  "final_energy_ev_per_cell": -10.2,
  "density_g_cm3": 6.51,
  "spacegroup": "No. 107",
  "n_ef_per_ev_cell": 4.6,
  "e_above_lowest_polymorph_mev_per_atom": 421.8
}



# 9
{
  "formula": "AcInH",
  "functional": "PBE",
  "state": "optimized geometry",
  "lattice": [[7.153, 0.000, 0.000], [0.000, 8.401, 0.000], [0.000, 0.000, 9.979]],
  "species": ["H", "H", "H", "H", "H", "H", "H", "H", "Ac", "Ac", "Ac", "Ac", "Ac", "Ac", "Ac", "Ac", "In", "In", "In", "In", "In", "In", "In", "In"],
  "fractional_positions": [[0.096, 0.000, 0.132], [0.096, 0.500, 0.368], [0.404, 0.500, 0.368], [0.404, 0.000, 0.132], [0.904, 0.000, 0.868], [0.904, 0.500, 0.632], [0.596, 0.500, 0.632], [0.596, 0.000, 0.868], [0.250, 0.000, 0.898], [0.250, 0.500, 0.602], [0.750, 0.000, 0.102], [0.750, 0.500, 0.398], [0.271, 0.250, 0.250], [0.229, 0.750, 0.250], [0.729, 0.750, 0.750], [0.771, 0.250, 0.750], [0.896, 0.376, 0.069], [0.896, 0.124, 0.431], [0.604, 0.876, 0.431], [0.604, 0.624, 0.069], [0.104, 0.624, 0.931], [0.104, 0.876, 0.569], [0.396, 0.124, 0.569], [0.396, 0.376, 0.931]],
  "final_energy_ev_per_cell": -90.8,
  "density_g_cm3": 7.59,
  "spacegroup": "No. 52",
  "n_ef_per_ev_cell": 12.4,
  "e_above_lowest_polymorph_mev_per_atom": 32.5
}



# 10
{
  "formula": "Ac3InH",
  "functional": "PBE",
  "state": "optimized geometry",
  "lattice": [[-5.275, -5.181, 0.592], [4.668, -4.591, 1.407], [1.162, 4.775, 5.674]],
  "species": ["Ac", "Ac", "Ac", "Ac", "Ac", "Ac", "In", "In", "H", "H"],
  "fractional_positions": [[0.856, 0.815, 0.231], [0.142, 0.340, 0.283], [0.375, 0.815, 0.231], [0.625, 0.185, 0.769], [0.144, 0.185, 0.769], [0.858, 0.660, 0.717], [0.370, 0.690, 0.740], [0.630, 0.310, 0.260], [0.769, 0.955, 0.538], [0.231, 0.045, 0.462]],
  "final_energy_ev_per_cell": -39.1,
  "density_g_cm3": 8.32,
  "spacegroup": "No. 12",
  "n_ef_per_ev_cell": 9.1,
  "e_above_lowest_polymorph_mev_per_atom": 11.8
}



# 11
{
  "formula": "Ac4InHIr2",
  "functional": "PBE",
  "state": "optimized geometry",
  "lattice": [[4.366, 0.000, 0.000], [-2.183, 7.369, 0.000], [0.000, 0.000, 15.079]],
  "species": ["Ac", "Ac", "Ac", "Ac", "Ac", "Ac", "Ac", "Ac", "In", "In", "H", "H", "Ir", "Ir", "Ir", "Ir"],
  "fractional_positions": [[0.264, 0.527, 0.110], [0.736, 0.473, 0.610], [0.736, 0.473, 0.890], [0.264, 0.527, 0.390], [0.000, 0.000, 0.500], [0.000, 0.000, 0.000], [0.420, 0.840, 0.750], [0.580, 0.160, 0.250], [0.110, 0.219, 0.750], [0.890, 0.781, 0.250], [0.836, 0.671, 0.750], [0.164, 0.329, 0.250], [0.370, 0.739, 0.561], [0.630, 0.261, 0.061], [0.630, 0.261, 0.439], [0.370, 0.739, 0.939]],
  "final_energy_ev_per_cell": -89.5,
  "density_g_cm3": 9.64,
  "spacegroup": "No. 63",
  "n_ef_per_ev_cell": 9.5
}



# 12
{
  "formula": "Ac6In2HN",
  "functional": "PBE",
  "state": "optimized geometry",
  "lattice": [[-5.406, 2.128, -4.875], [0.976, -6.436, -3.892], [-7.399, -4.813, 6.104]],
  "species": ["Ac", "Ac", "Ac", "Ac", "Ac", "Ac", "Ac", "Ac", "Ac", "Ac", "Ac", "Ac", "In", "In", "In", "In", "H", "H", "N", "N"],
  "fractional_positions": [[0.500, 0.250, 0.256], [0.500, 0.250, 0.744], [0.000, 0.750, 0.244], [0.000, 0.750, 0.756], [0.256, 0.006, 0.500], [0.744, 0.006, 0.500], [0.256, 0.493, 0.500], [0.744, 0.493, 0.500], [0.756, 0.507, 0.000], [0.244, 0.507, 0.000], [0.244, 0.994, 0.000], [0.756, 0.994, 0.000], [0.500, 0.750, 0.250], [0.000, 0.250, 0.750], [0.500, 0.750, 0.750], [0.000, 0.250, 0.250], [0.000, 0.749, 0.500], [0.500, 0.251, 0.000], [0.500, 0.249, 0.500], [0.000, 0.751, 0.000]],
  "final_energy_ev_per_cell": -93.1,
  "density_g_cm3": 8.64,
  "spacegroup": "No. 59",
  "n_ef_per_ev_cell": 16.3
}



What did the sixth record say?
{
  "formula": "Ac5In2H",
  "functional": "PBE",
  "state": "optimized geometry",
  "lattice": [[7.691, -0.002, 0.003], [-0.002, 7.691, 0.003], [-3.842, -3.842, 4.873]],
  "species": ["Ac", "Ac", "Ac", "Ac", "Ac", "In", "In", "H"],
  "fractional_positions": [[0.752, 0.250, 0.002], [0.250, 0.250, 0.002], [0.752, 0.752, 0.002], [0.250, 0.752, 0.002], [0.755, 0.755, 0.510], [0.253, 0.753, 0.506], [0.753, 0.253, 0.506], [0.012, 0.012, 0.024]],
  "final_energy_ev_per_cell": -30.3,
  "density_g_cm3": 7.86,
  "spacegroup": "No. 107",
  "n_ef_per_ev_cell": 9.7
}